[1]
The following is a DFT calculation (PBE) of La4Au2I5 after structural relaxation.

Unit cell a=4.219 b=9.003 c=15.203 alpha=107.22 beta=97.98 gamma=90.00
Fractional coordinates of all 11 atoms:
Au  0.451  0.451  0.902
Au  0.549  0.549  0.098
I  0.824  0.572  0.648
I  0.500  0.000  0.000
I  0.176  0.924  0.352
I  0.824  0.076  0.648
I  0.176  0.428  0.352
La  0.000  0.298  0.000
La  0.000  0.702  0.000
La  0.648  0.648  0.295
La  0.352  0.352  0.705

Calculated values
Distance to the lowest polymorph of the same formula, meV/atom: 69.9
ΔE_f (raw), eV/atom: -1.05
Density, g/cm3: 4.820

=====

[2]
The following is a DFT calculation (PBE) of NaTl2HgF6 after structural relaxation.

Unit cell a=5.662 b=5.788 c=5.891 alpha=113.21 beta=104.62 gamma=90.23
Fractional coordinates of all 10 atoms:
F  0.378  0.387  0.409
F  0.257  0.796  0.052
F  0.118  0.199  0.879
F  0.876  0.659  0.447
F  0.712  0.649  0.887
F  0.613  0.142  0.817
Tl  0.292  0.804  0.665
Tl  0.788  0.300  0.576
Hg  0.968  0.070  0.163
Na  0.496  0.497  0.102

Calculated values
ΔE_f (raw), eV/atom: -1.79
Density, g/cm3: 7.268

=====

[3]
The following is a DFT calculation (PBE) of La2Ho9Er after structural relaxation.

Unit cell a=5.037 b=5.037 c=15.138 alpha=90.00 beta=90.00 gamma=90.00
Fractional coordinates of all 12 atoms:
Ho  0.000  0.500  0.838
Ho  0.000  0.500  0.500
Ho  0.500  0.500  0.000
Ho  0.000  0.500  0.162
Ho  0.500  0.000  0.500
Ho  0.500  0.000  0.838
Ho  0.500  0.000  0.162
Ho  0.500  0.500  0.669
Ho  0.500  0.500  0.331
La  0.000  0.000  0.334
La  0.000  0.000  0.666
Er  0.000  0.000  0.000

Calculated values
Distance to the lowest polymorph of the same formula, meV/atom: 0.0
DFT formation energy, eV per atom: 0.03
Density, g/cm3: 8.343

=====

The lowest density belongs to which entry? La4Au2I5

=====

The highest density belongs to which entry? La2Ho9Er

=====

Which formula does entry 2 have? NaTl2HgF6